Entry 1:
Here is an optimized crystal structure of CuBr2Cl from Alexandria. Energies are from PBE-GGA.

Cell and atoms, written as POSCAR:
```
CuBr2Cl
1.0
2.4346 -7.2132 0.0000
2.4346 7.2132 0.0000
-2.3386 0.0000 3.4414
Cu Br Cl
1 2 1
direct
0.0000 0.0000 0.0000 Cu
0.0000 0.5000 0.5000 Br
0.5000 0.0000 0.5000 Br
0.5000 0.5000 0.0000 Cl
```

Magnetic moment   0.00 μB per cell
VASP energy   -8.806 eV/cell
V   121 Å³ per cell
E above lowest polymorph   359 meV per atom
Formation energy without anion corrections   121 meV per atom

---

Entry 2:
Here is an optimized crystal structure of Ba2MnBr from Alexandria. Energies are from PBE-GGA.

Cell and atoms, written as POSCAR:
```
Ba2MnBr
1.0
2.2486 1.2982 9.0406
-2.2486 1.2982 9.0406
0.0000 -2.5964 9.0406
Ba Mn Br
2 1 1
direct
0.2459 0.2459 0.2459 Ba
0.7541 0.7541 0.7541 Ba
0.5000 0.5000 0.5000 Mn
0.0000 0.0000 0.0000 Br
```

Magnetic moment   3.70 μB per cell
VASP energy   -16.333 eV/cell
V   158 Å³ per cell
E above lowest polymorph   0 meV per atom
Formation energy without anion corrections   -411 meV per atom

---

Entry 3:
Here is an optimized crystal structure of Mg2AgAs from Alexandria. Energies are from PBE-GGA.

Cell and atoms, written as POSCAR:
```
Mg2AgAs
1.0
3.0626 0.0000 0.0000
0.0000 4.9945 0.0000
0.0000 0.0000 4.9966
Mg Ag As
2 1 1
direct
0.0000 0.0000 0.0000 Mg
0.0000 0.5000 0.4957 Mg
0.5000 0.5000 0.9958 Ag
0.5000 0.0000 0.5005 As
```

Magnetic moment   0.00 μB per cell
VASP energy   -11.684 eV/cell
ΔH_f (0 K)   -248 meV/atom
V   76 Å³ per cell

---

Entry 4:
Here is an optimized crystal structure of Pa2AlPd6 from Alexandria. Energies are from PBE-GGA.

Cell and atoms, written as POSCAR:
```
Pa2AlPd6
1.0
6.7635 -3.4620 0.0000
6.7635 3.4620 0.0000
-0.0051 0.0000 3.7610
Pa Al Pd
2 1 6
direct
0.1799 0.1799 0.0008 Pa
0.8201 0.8201 0.9992 Pa
0.5000 0.5000 0.5000 Al
0.1399 0.5520 0.4990 Pd
0.2387 0.7613 0.0000 Pd
0.4480 0.8601 0.5010 Pd
0.5520 0.1399 0.4990 Pd
0.7613 0.2387 0.0000 Pd
0.8601 0.4480 0.5010 Pd
```

Magnetic moment   0.00 μB per cell
VASP energy   -58.796 eV/cell
ΔH_f (0 K)   -545 meV/atom
V   176 Å³ per cell

---

Entry 5:
Here is an optimized crystal structure of SrCdTcPb2 from Alexandria. Energies are from PBE-GGA.

Cell and atoms, written as POSCAR:
```
SrCdTcPb2
1.0
5.4697 0.0000 0.0000
0.0000 5.4697 0.0000
0.0000 0.0000 5.4795
Sr Cd Tc Pb
1 1 1 2
direct
0.0000 0.0000 0.0000 Sr
0.5000 0.5000 0.5000 Cd
0.5000 0.5000 0.0000 Tc
0.0000 0.5000 0.5000 Pb
0.5000 0.0000 0.5000 Pb
```

Magnetic moment   2.98 μB per cell
VASP energy   -16.502 eV/cell
ΔH_f (0 K)   775 meV/atom
V   164 Å³ per cell

---

Entry 6:
Here is an optimized crystal structure of BeRePb2 from Alexandria. Energies are from PBE-GGA.

Cell and atoms, written as POSCAR:
```
BeRePb2
1.0
1.7890 -2.6539 0.0000
1.7890 2.6539 0.0000
0.0000 0.0000 8.5995
Be Re Pb
1 1 2
direct
0.0000 0.0000 0.0000 Be
0.0000 0.0000 0.5000 Re
0.5000 0.5000 0.2415 Pb
0.5000 0.5000 0.7585 Pb
```

Magnetic moment   0.53 μB per cell
VASP energy   -18.947 eV/cell
ΔH_f (0 K)   1161 meV/atom
V   82 Å³ per cell

---

Entry 7:
Here is an optimized crystal structure of Lu2HfSn from Alexandria. Energies are from PBE-GGA.

Cell and atoms, written as POSCAR:
```
Lu2HfSn
1.0
3.2874 0.0000 0.0000
0.0000 3.2874 0.0000
0.0000 0.0000 9.3831
Lu Hf Sn
2 1 1
direct
0.0000 0.0000 0.2487 Lu
0.0000 0.0000 0.7513 Lu
0.5000 0.5000 0.0000 Hf
0.5000 0.5000 0.5000 Sn
```

Magnetic moment   0.00 μB per cell
VASP energy   -23.989 eV/cell
ΔH_f (0 K)   -248 meV/atom
V   101 Å³ per cell
E above lowest polymorph   9 meV per atom

---

Entry 8:
Here is an optimized crystal structure of Zr2Pt from Alexandria. Energies are from PBE-GGA.

Cell and atoms, written as POSCAR:
```
Zr2Pt
1.0
0.0000 3.2578 3.2578
3.2578 0.0000 3.2578
3.2578 3.2578 0.0000
Zr Pt
2 1
direct
0.2500 0.2500 0.2500 Zr
0.7500 0.7500 0.7500 Zr
0.0000 0.0000 0.0000 Pt
```

Magnetic moment   0.00 μB per cell
VASP energy   -24.683 eV/cell
ΔH_f (0 K)   -515 meV/atom
V   69 Å³ per cell

---

Entry 9:
Here is an optimized crystal structure of GaGeBrN2 from Alexandria. Energies are from PBE-GGA.

Cell and atoms, written as POSCAR:
```
GaGeBrN2
1.0
3.7955 0.0000 0.0000
0.0000 3.7955 0.0000
0.0000 0.0000 6.6808
Ga Ge Br N
1 1 1 2
direct
0.0000 0.0000 0.0000 Ga
0.0000 0.0000 0.5000 Ge
0.5000 0.5000 0.0000 Br
0.0000 0.5000 0.5000 N
0.5000 0.0000 0.5000 N
```

Magnetic moment   0.00 μB per cell
VASP energy   -20.941 eV/cell
V   96 Å³ per cell
Formation energy without anion corrections   1005 meV per atom

---

Entry 10:
Here is an optimized crystal structure of Rb2CoSeBr6 from Alexandria. Energies are from PBE-GGA.

Cell and atoms, written as POSCAR:
```
Rb2CoSeBr6
1.0
-3.8602 3.8602 5.3294
3.8602 -3.8602 5.3294
3.8602 3.8602 -5.3294
Rb Co Se Br
2 1 1 6
direct
0.2500 0.7500 0.5000 Rb
0.7500 0.2500 0.5000 Rb
0.0000 0.0000 0.0000 Co
0.5000 0.5000 0.0000 Se
0.2251 0.2251 0.4502 Br
0.2251 0.7749 0.0000 Br
0.2533 0.2533 0.0000 Br
0.7467 0.7467 0.0000 Br
0.7749 0.2251 0.0000 Br
0.7749 0.7749 0.5498 Br
```

Magnetic moment   1.15 μB per cell
VASP energy   -29.768 eV/cell
V   318 Å³ per cell
Formation energy without anion corrections   -721 meV per atom

---

Entry 11:
Here is an optimized crystal structure of S2BrO from Alexandria. Energies are from PBE-GGA.

Cell and atoms, written as POSCAR:
```
S2BrO
1.0
-2.4332 2.4332 6.4962
2.4332 -2.4332 6.4962
2.4332 2.4332 -6.4962
S Br O
4 2 2
direct
0.3750 0.0768 0.2018 S
0.8268 0.6250 0.7018 S
0.8750 0.1732 0.7982 S
0.9232 0.1250 0.2982 S
0.2500 0.7500 0.5000 Br
0.5000 0.5000 0.0000 Br
0.0000 0.0000 0.0000 O
0.7500 0.2500 0.5000 O
```

Magnetic moment   0.00 μB per cell
VASP energy   -25.034 eV/cell
V   154 Å³ per cell
E above lowest polymorph   180 meV per atom
Formation energy without anion corrections   592 meV per atom

---

Entry 12:
Here is an optimized crystal structure of Pr4Te3Se from Alexandria. Energies are from PBE-GGA.

Cell and atoms, written as POSCAR:
```
Pr4Te3Se
1.0
2.2267 1.2856 14.7134
-2.2267 1.2856 14.7134
0.0000 -2.5711 14.7134
Pr Te Se
4 3 1
direct
0.1251 0.1251 0.1251 Pr
0.3685 0.3685 0.3685 Pr
0.6315 0.6315 0.6315 Pr
0.8749 0.8749 0.8749 Pr
0.2528 0.2528 0.2528 Te
0.5000 0.5000 0.5000 Te
0.7472 0.7472 0.7472 Te
0.0000 0.0000 0.0000 Se
```

Magnetic moment   0.00 μB per cell
VASP energy   -44.359 eV/cell
V   253 Å³ per cell
Formation energy without anion corrections   -1541 meV per atom

---

Entry 13:
Here is an optimized crystal structure of PaIrRhAu from Alexandria. Energies are from PBE-GGA.

Cell and atoms, written as POSCAR:
```
PaIrRhAu
1.0
3.8810 0.0000 0.0000
0.0000 4.2898 0.0000
0.0000 0.0000 4.2935
Pa Ir Rh Au
1 1 1 1
direct
0.0000 0.0000 0.0000 Pa
0.5000 0.5000 0.0000 Ir
0.5000 0.0000 0.5000 Rh
0.0000 0.5000 0.5000 Au
```

Magnetic moment   0.00 μB per cell
VASP energy   -31.871 eV/cell
ΔH_f (0 K)   -721 meV/atom
V   71 Å³ per cell
E above lowest polymorph   0 meV per atom

---

Entry 14:
Here is an optimized crystal structure of YSi2As from Alexandria. Energies are from PBE-GGA.

Cell and atoms, written as POSCAR:
```
YSi2As
1.0
4.0879 0.0000 0.0000
0.0000 3.8956 0.0000
-1.4761 0.0000 5.4111
Y Si As
1 2 1
direct
0.0000 0.0000 0.0000 Y
0.4003 0.5000 0.7870 Si
0.5997 0.5000 0.2130 Si
0.5000 0.0000 0.5000 As
```

Magnetic moment   0.00 μB per cell
VASP energy   -22.837 eV/cell
V   86 Å³ per cell
Formation energy without anion corrections   -219 meV per atom

---

Entry 15:
Here is an optimized crystal structure of CsTlZnSb from Alexandria. Energies are from PBE-GGA.

Cell and atoms, written as POSCAR:
```
CsTlZnSb
1.0
4.4669 0.0000 0.0000
0.0000 4.4669 0.0000
0.0000 0.0000 15.3755
Cs Tl Zn Sb
2 2 2 2
direct
0.2500 0.2500 0.2442 Cs
0.7500 0.7500 0.7558 Cs
0.2500 0.7500 0.5000 Tl
0.7500 0.2500 0.5000 Tl
0.2500 0.7500 0.0000 Zn
0.7500 0.2500 0.0000 Zn
0.2500 0.2500 0.8928 Sb
0.7500 0.7500 0.1072 Sb
```

Magnetic moment   0.00 μB per cell
VASP energy   -18.785 eV/cell
V   307 Å³ per cell
Formation energy without anion corrections   -194 meV per atom

---

Entry 16:
Here is an optimized crystal structure of Hf2TaRu3 from Alexandria. Energies are from PBE-GGA.

Cell and atoms, written as POSCAR:
```
Hf2TaRu3
1.0
3.2208 0.0000 0.0000
0.0000 3.2208 0.0000
0.0000 0.0000 9.6396
Hf Ta Ru
2 1 3
direct
0.0000 0.0000 0.1682 Hf
0.0000 0.0000 0.8318 Hf
0.0000 0.0000 0.5000 Ta
0.5000 0.5000 0.0000 Ru
0.5000 0.5000 0.3389 Ru
0.5000 0.5000 0.6611 Ru
```

Magnetic moment   0.00 μB per cell
VASP energy   -63.481 eV/cell
ΔH_f (0 K)   -649 meV/atom
V   100 Å³ per cell

---

Entry 17:
Here is an optimized crystal structure of SmHo2Sb from Alexandria. Energies are from PBE-GGA.

Cell and atoms, written as POSCAR:
```
SmHo2Sb
1.0
2.2961 -11.3471 0.0000
2.2961 11.3471 0.0000
0.0000 0.0000 4.5530
Sm Ho Sb
2 4 2
direct
0.1943 0.8057 0.7500 Sm
0.8057 0.1943 0.2500 Sm
0.0610 0.9390 0.2500 Ho
0.4400 0.5600 0.2500 Ho
0.5600 0.4400 0.7500 Ho
0.9390 0.0610 0.7500 Ho
0.3355 0.6645 0.7500 Sb
0.6645 0.3355 0.2500 Sb
```

Magnetic moment   0.00 μB per cell
VASP energy   -40.669 eV/cell
V   237 Å³ per cell
E above lowest polymorph   0 meV per atom
Formation energy without anion corrections   -584 meV per atom

---

Entry 18:
Here is an optimized crystal structure of Sc3TiSb from Alexandria. Energies are from PBE-GGA.

Cell and atoms, written as POSCAR:
```
Sc3TiSb
1.0
4.9827 0.0000 0.0000
0.0000 4.9827 0.0000
0.0000 0.0000 4.9827
Sc Ti Sb
3 1 1
direct
0.0000 0.0000 0.5000 Sc
0.0000 0.5000 0.0000 Sc
0.5000 0.0000 0.0000 Sc
0.0000 0.0000 0.0000 Ti
0.5000 0.5000 0.5000 Sb
```

Magnetic moment   0.00 μB per cell
VASP energy   -29.086 eV/cell
V   124 Å³ per cell
E above lowest polymorph   0 meV per atom
Formation energy without anion corrections   385 meV per atom

---

Entry 19:
Here is an optimized crystal structure of AuSe3 from Alexandria. Energies are from PBE-GGA.

Cell and atoms, written as POSCAR:
```
AuSe3
1.0
1.9905 1.1492 6.2790
-1.9905 1.1492 6.2790
0.0000 -2.2984 6.2790
Au Se
1 3
direct
0.0000 0.0000 0.0000 Au
0.2540 0.2540 0.2540 Se
0.5000 0.5000 0.5000 Se
0.7460 0.7460 0.7460 Se
```

Magnetic moment   0.00 μB per cell
VASP energy   -13.290 eV/cell
V   86 Å³ per cell
Formation energy without anion corrections   110 meV per atom

---

Entry 20:
Here is an optimized crystal structure of TmHgPd5 from Alexandria. Energies are from PBE-GGA.

Cell and atoms, written as POSCAR:
```
TmHgPd5
1.0
5.5298 -4.6675 0.0000
5.5298 4.6675 0.0000
-3.0085 0.0000 4.9306
Tm Hg Pd
2 2 10
direct
0.1483 0.8517 0.7500 Tm
0.8517 0.1483 0.2500 Tm
0.5000 0.5000 0.0000 Hg
0.5000 0.5000 0.5000 Hg
0.9998 0.4998 0.2532 Pd
0.0002 0.5002 0.7468 Pd
0.1792 0.8208 0.2500 Pd
0.2372 0.2511 0.9944 Pd
0.2511 0.2372 0.4944 Pd
0.5002 0.0002 0.2468 Pd
0.4998 0.9998 0.7532 Pd
0.7489 0.7628 0.5056 Pd
0.7628 0.7489 0.0056 Pd
0.8208 0.1792 0.7500 Pd
```

Magnetic moment   0.00 μB per cell
VASP energy   -67.361 eV/cell
ΔH_f (0 K)   -420 meV/atom
V   255 Å³ per cell
E above lowest polymorph   0 meV per atom

---

Entry 21:
Here is an optimized crystal structure of Ac2In2BRh4 from Alexandria. Energies are from PBE-GGA.

Cell and atoms, written as POSCAR:
```
Ac2In2BRh4
1.0
-3.2590 3.2590 4.3739
3.2590 -3.2590 4.3739
3.2590 3.2590 -4.3739
Ac In B Rh
2 2 1 4
direct
0.2500 0.7500 0.5000 Ac
0.7500 0.2500 0.5000 Ac
0.1694 0.1694 0.0000 In
0.8306 0.8306 0.0000 In
0.5000 0.5000 0.0000 B
0.2719 0.2719 0.5438 Rh
0.2719 0.7281 0.0000 Rh
0.7281 0.2719 0.0000 Rh
0.7281 0.7281 0.4562 Rh
```

Magnetic moment   0.00 μB per cell
VASP energy   -53.395 eV/cell
ΔH_f (0 K)   -402 meV/atom
V   186 Å³ per cell

---

Entry 22:
Here is an optimized crystal structure of LaTbHo4 from Alexandria. Energies are from PBE-GGA.

Cell and atoms, written as POSCAR:
```
LaTbHo4
1.0
3.4163 0.0000 0.0000
0.0000 5.8281 0.0000
0.0000 0.0000 9.9928
La Tb Ho
1 1 4
direct
0.0000 0.0000 0.0000 La
0.5000 0.5000 0.5000 Tb
0.0000 0.5000 0.1934 Ho
0.0000 0.5000 0.8066 Ho
0.5000 0.0000 0.3173 Ho
0.5000 0.0000 0.6827 Ho
```

Magnetic moment   0.00 μB per cell
VASP energy   -26.649 eV/cell
ΔH_f (0 K)   203 meV/atom
V   199 Å³ per cell
E above lowest polymorph   136 meV per atom

---

Entry 23:
Here is an optimized crystal structure of Pr3Dy4Y4 from Alexandria. Energies are from PBE-GGA.

Cell and atoms, written as POSCAR:
```
Pr3Dy4Y4
1.0
10.6841 0.0000 0.0000
0.0000 2.8751 6.0565
0.0000 -2.8751 6.0565
Pr Dy Y
3 4 4
direct
0.0000 0.0000 0.0000 Pr
0.2968 0.1479 0.1479 Pr
0.7032 0.1479 0.1479 Pr
0.0000 0.7009 0.7009 Dy
0.2142 0.4996 0.4996 Dy
0.5000 0.6340 0.6340 Dy
0.7858 0.4996 0.4996 Dy
0.0000 0.3013 0.3013 Y
0.2913 0.8443 0.8443 Y
0.5000 0.3620 0.3620 Y
0.7087 0.8443 0.8443 Y
```

Magnetic moment   0.00 μB per cell
VASP energy   -56.917 eV/cell
ΔH_f (0 K)   153 meV/atom
V   372 Å³ per cell
E above lowest polymorph   0 meV per atom

---

Entry 24:
Here is an optimized crystal structure of SrZrSe2 from Alexandria. Energies are from PBE-GGA.

Cell and atoms, written as POSCAR:
```
SrZrSe2
1.0
0.0000 3.6518 3.6518
3.6518 0.0000 3.6518
3.6518 3.6518 0.0000
Sr Zr Se
1 1 2
direct
0.0000 0.0000 0.0000 Sr
0.7500 0.7500 0.7500 Zr
0.2500 0.2500 0.2500 Se
0.5000 0.5000 0.5000 Se
```

Magnetic moment   1.93 μB per cell
VASP energy   -17.778 eV/cell
V   97 Å³ per cell
E above lowest polymorph   1337 meV per atom
Formation energy without anion corrections   -145 meV per atom

---

Entry 25:
Here is an optimized crystal structure of CeHg2Br from Alexandria. Energies are from PBE-GGA.

Cell and atoms, written as POSCAR:
```
CeHg2Br
1.0
1.8410 1.0629 10.7840
-1.8410 1.0629 10.7840
0.0000 -2.1258 10.7840
Ce Hg Br
1 2 1
direct
0.0000 0.0000 0.0000 Ce
0.0963 0.0963 0.0963 Hg
0.9037 0.9037 0.9037 Hg
0.5000 0.5000 0.5000 Br
```

Magnetic moment   1.54 μB per cell
VASP energy   -8.376 eV/cell
V   127 Å³ per cell
Formation energy without anion corrections   -41 meV per atom

---

Entry 26:
Here is an optimized crystal structure of CdIn5Br8 from Alexandria. Energies are from PBE-GGA.

Cell and atoms, written as POSCAR:
```
CdIn5Br8
1.0
-4.7251 4.7251 5.3005
4.7251 -4.7251 5.3005
4.7251 4.7251 -5.3005
Cd In Br
1 5 8
direct
0.0000 0.0000 0.0000 Cd
0.1210 0.5047 0.8780 In
0.2500 0.7500 0.5000 In
0.4953 0.3733 0.6163 In
0.6267 0.2430 0.1220 In
0.7570 0.8790 0.3837 In
0.0220 0.2273 0.3417 Br
0.2528 0.1063 0.7242 Br
0.3198 0.9780 0.2053 Br
0.3820 0.5286 0.2758 Br
0.4714 0.7472 0.8535 Br
0.7727 0.1145 0.7947 Br
0.8855 0.6802 0.6583 Br
0.8937 0.6180 0.1465 Br
```

Magnetic moment   0.00 μB per cell
VASP energy   -36.952 eV/cell
V   473 Å³ per cell
Formation energy without anion corrections   -640 meV per atom